# 1
A plane-wave DFT calculation with PBE was carried out for La4HoAu5 after structural relaxation.

Calculated values
calculated formation energy = -0.795 eV per atom

Unit cell a=3.7068 b=3.7068 c=19.0428 alpha=90.00 beta=90.00 gamma=90.00
Element x y z (fractional)
La1 0.0000 0.0000 0.1019
La2 0.0000 0.0000 0.3060
La3 0.0000 0.0000 0.6940
La4 0.0000 0.0000 0.8981
Ho1 0.0000 0.0000 0.5000
Au1 0.5000 0.5000 0.0000
Au2 0.5000 0.5000 0.2036
Au3 0.5000 0.5000 0.4134
Au4 0.5000 0.5000 0.5866
Au5 0.5000 0.5000 0.7964

---

# 2
A plane-wave DFT calculation with PBE was carried out for CsNa2Hg after structural relaxation.

Calculated values
calculated formation energy = -0.128 eV per atom

Unit cell a=8.0398 b=9.9725 c=11.7285 alpha=90.00 beta=132.31 gamma=90.00
Element x y z (fractional)
Cs1 0.1409 0.0138 0.2365
Cs2 0.1409 0.4862 0.7365
Cs3 0.8591 0.5138 0.2635
Cs4 0.8591 0.9862 0.7635
Na1 0.2401 0.1087 0.6413
Na2 0.2401 0.3913 0.1413
Na3 0.4796 0.6608 0.4263
Na4 0.4796 0.8392 0.9263
Na5 0.5204 0.1608 0.0737
Na6 0.5204 0.3392 0.5737
Na7 0.7599 0.6087 0.8587
Na8 0.7599 0.8913 0.3587
Hg1 0.2958 0.7091 0.0818
Hg2 0.2958 0.7909 0.5818
Hg3 0.7042 0.2091 0.4182
Hg4 0.7042 0.2909 0.9182

---

# 3
A plane-wave DFT calculation with PBE was carried out for PmInPtAu after structural relaxation.

Calculated values
calculated formation energy = -0.763 eV per atom

Unit cell a=4.7908 b=4.7908 c=5.2194 alpha=117.33 beta=117.33 gamma=60.17
Element x y z (fractional)
Pm1 0.0000 0.0000 0.0000
In1 0.4856 0.4856 0.4556
Pt1 0.7757 0.7757 0.3265
Au1 0.2312 0.2312 0.6929

---

# 4
A plane-wave DFT calculation with PBE was carried out for La7PmPr12 after structural relaxation.

Calculated values
calculated formation energy = 0.178 eV per atom
polymorph energy (0 for the lowest one) = 0 meV per atom

Unit cell a=10.5264 b=10.5264 c=10.5264 alpha=113.26 beta=113.26 gamma=113.26
Element x y z (fractional)
La1 0.0000 0.0000 0.0000
La2 0.0730 0.4182 0.4184
La3 0.4184 0.0730 0.4182
La4 0.4182 0.4184 0.0730
La5 0.5818 0.5816 0.9270
La6 0.5816 0.9270 0.5818
La7 0.9270 0.5818 0.5816
Pm1 0.5000 0.5000 0.5000
Pr1 0.0008 0.7151 0.2860
Pr2 0.1592 0.1593 0.4841
Pr3 0.1593 0.4841 0.1592
Pr4 0.2849 0.7140 0.9992
Pr5 0.2860 0.0008 0.7151
Pr6 0.4841 0.1592 0.1593
Pr7 0.5159 0.8408 0.8407
Pr8 0.7140 0.9992 0.2849
Pr9 0.7151 0.2860 0.0008
Pr10 0.8407 0.5159 0.8408
Pr11 0.8408 0.8407 0.5159
Pr12 0.9992 0.2849 0.7140

---

# 5
A plane-wave DFT calculation with PBE was carried out for Ca2PrAg4 after structural relaxation.

Calculated values
calculated formation energy = -0.067 eV per atom

Unit cell a=6.3543 b=6.3543 c=6.3543 alpha=108.53 beta=108.53 gamma=111.36
Element x y z (fractional)
Ca1 0.0000 0.5000 0.5000
Ca2 0.5000 0.0000 0.5000
Pr1 0.0000 0.0000 0.0000
Ag1 0.0000 0.0000 0.5000
Ag2 0.0000 0.5000 0.0000
Ag3 0.5000 0.0000 0.0000
Ag4 0.5000 0.5000 0.5000

---

# 6
A plane-wave DFT calculation with PBE was carried out for RuSN2O after structural relaxation.

Calculated values
total energy = -5.867 eV per atom

Unit cell a=3.9207 b=3.9207 c=3.7766 alpha=90.00 beta=90.00 gamma=90.00
Element x y z (fractional)
Ru1 0.0000 0.0000 0.0000
S1 0.5000 0.5000 0.5000
N1 0.0000 0.5000 0.0000
N2 0.5000 0.0000 0.0000
O1 0.0000 0.0000 0.5000